Here is a relaxed structure of CaSnS3 from Alexandria via LeMat-Bulk. Energies are from PBEsol.

Unit cell a=8.374 b=8.640 c=11.475 alpha=69.30 beta=84.57 gamma=79.42
Element x y z (fractional)
Ca 0.036 0.473 0.327
Ca 0.198 0.263 0.016
Ca 0.427 0.722 0.366
Ca 0.573 0.278 0.634
Ca 0.802 0.737 0.984
Ca 0.964 0.527 0.673
Sn 0.053 0.020 0.672
Sn 0.271 0.803 0.997
Sn 0.418 0.672 0.707
Sn 0.582 0.328 0.293
Sn 0.729 0.197 0.003
Sn 0.947 0.980 0.328
S 0.088 0.707 0.435
S 0.112 0.189 0.269
S 0.116 0.581 0.069
S 0.128 0.064 0.856
S 0.289 0.431 0.757
S 0.308 0.948 0.566
S 0.353 0.924 0.129
S 0.363 0.392 0.427
S 0.489 0.292 0.113
S 0.511 0.708 0.887
S 0.637 0.608 0.573
S 0.647 0.076 0.871
S 0.692 0.052 0.434
S 0.711 0.569 0.243
S 0.872 0.936 0.144
S 0.884 0.419 0.931
S 0.888 0.811 0.731
S 0.912 0.293 0.565

size of the total moment = 0.000 μB per cell
excess energy over the best structure of this formula in the dataset = 66 meV per atom
symmetry = No. 2
total energy = -0.362 Ry/atom
formation energy from raw total energies = -1.020 eV/atom

=====

Here is a relaxed structure of CaSn2S5 from Alexandria via LeMat-Bulk. Energies are from PBEsol.

Unit cell a=6.854 b=7.094 c=8.941 alpha=105.02 beta=103.10 gamma=106.15
Element x y z (fractional)
Ca 0.131 0.325 0.299
Ca 0.869 0.675 0.701
Sn 0.192 0.329 0.759
Sn 0.500 0.000 0.000
Sn 0.500 0.000 0.500
Sn 0.808 0.671 0.241
S 0.119 0.747 0.472
S 0.165 0.092 0.907
S 0.209 0.648 0.948
S 0.401 0.098 0.256
S 0.452 0.352 0.618
S 0.548 0.648 0.382
S 0.599 0.902 0.744
S 0.791 0.352 0.052
S 0.835 0.908 0.093
S 0.881 0.253 0.528

size of the total moment = 0.000 μB per cell
excess energy over the best structure of this formula in the dataset = 18 meV per atom
symmetry = No. 2
total energy = -0.355 Ry/atom
formation energy from raw total energies = -0.765 eV/atom

=====

Here is a relaxed structure of Ca3Sn2S7 from Alexandria via LeMat-Bulk. Energies are from PBEsol.

Unit cell a=11.142 b=12.310 c=3.815 alpha=90.00 beta=90.00 gamma=90.00
Element x y z (fractional)
Ca 0.000 0.000 0.000
Ca 0.115 0.348 0.000
Ca 0.385 0.848 0.000
Ca 0.500 0.500 0.000
Ca 0.615 0.152 0.000
Ca 0.885 0.652 0.000
Sn 0.214 0.607 0.500
Sn 0.286 0.107 0.500
Sn 0.714 0.893 0.500
Sn 0.786 0.393 0.500
S 0.000 0.500 0.500
S 0.078 0.178 0.500
S 0.141 0.714 0.000
S 0.203 0.928 0.500
S 0.297 0.428 0.500
S 0.359 0.214 0.000
S 0.422 0.678 0.500
S 0.500 0.000 0.500
S 0.578 0.322 0.500
S 0.641 0.786 0.000
S 0.703 0.572 0.500
S 0.797 0.072 0.500
S 0.859 0.286 0.000
S 0.922 0.822 0.500

size of the total moment = 0.000 μB per cell
symmetry = No. 55
total energy = -0.370 Ry/atom
formation energy from raw total energies = -1.238 eV/atom

=====

Here is a relaxed structure of CaSnS3 from Alexandria via LeMat-Bulk. Energies are from PBEsol.

Unit cell a=13.616 b=13.616 c=13.616 alpha=109.22 beta=109.22 gamma=109.97
Element x y z (fractional)
Ca 0.000 0.000 0.000
Ca 0.130 0.880 0.250
Ca 0.131 0.250 0.372
Ca 0.250 0.122 0.881
Ca 0.259 0.631 0.381
Ca 0.378 0.759 0.128
Ca 0.380 0.630 0.750
Ca 0.500 0.000 0.000
Ca 0.500 0.000 0.500
Ca 0.500 0.500 0.500
Ca 0.620 0.370 0.250
Ca 0.622 0.241 0.872
Ca 0.741 0.369 0.619
Ca 0.750 0.878 0.119
Ca 0.869 0.750 0.628
Ca 0.870 0.120 0.750
Sn 0.000 0.000 0.500
Sn 0.000 0.500 0.000
Sn 0.000 0.500 0.500
Sn 0.123 0.741 0.866
Sn 0.125 0.375 0.750
Sn 0.241 0.876 0.619
Sn 0.243 0.377 0.119
Sn 0.375 0.125 0.250
Sn 0.376 0.257 0.634
Sn 0.500 0.500 0.000
Sn 0.624 0.743 0.366
Sn 0.625 0.875 0.750
Sn 0.757 0.623 0.881
Sn 0.759 0.124 0.381
Sn 0.875 0.625 0.250
Sn 0.877 0.259 0.134
S 0.035 0.625 0.209
S 0.046 0.420 0.333
S 0.080 0.913 0.625
S 0.085 0.174 0.709
S 0.088 0.900 0.864
S 0.091 0.183 0.954
S 0.118 0.709 0.031
S 0.125 0.415 0.589
S 0.178 0.087 0.469
S 0.183 0.093 0.227
S 0.209 0.678 0.591
S 0.213 0.546 0.125
S 0.271 0.863 0.454
S 0.276 0.412 0.312
S 0.317 0.771 0.908
S 0.326 0.535 0.911
S 0.363 0.409 0.592
S 0.366 0.956 0.273
S 0.400 0.036 0.812
S 0.407 0.134 0.090
S 0.413 0.287 0.833
S 0.413 0.382 0.091
S 0.456 0.683 0.590
S 0.464 0.776 0.364
S 0.536 0.224 0.636
S 0.544 0.317 0.410
S 0.587 0.618 0.909
S 0.587 0.713 0.167
S 0.593 0.866 0.910
S 0.600 0.964 0.188
S 0.634 0.044 0.727
S 0.637 0.591 0.408
S 0.674 0.465 0.089
S 0.683 0.229 0.092
S 0.724 0.588 0.688
S 0.729 0.137 0.546
S 0.787 0.454 0.875
S 0.791 0.322 0.409
S 0.817 0.907 0.773
S 0.822 0.913 0.531
S 0.875 0.585 0.411
S 0.882 0.291 0.969
S 0.909 0.817 0.046
S 0.912 0.100 0.136
S 0.915 0.826 0.291
S 0.920 0.087 0.375
S 0.954 0.580 0.667
S 0.965 0.375 0.791

size of the total moment = 0.000 μB per cell
excess energy over the best structure of this formula in the dataset = 40 meV per atom
symmetry = No. 88
total energy = -0.364 Ry/atom
formation energy from raw total energies = -1.047 eV/atom